Record 1
DFT (PBE) results for an optimized crystal structure of Tm5Ni2Rh.

abc: 7.0074 7.0074 8.6725
angles: 113.83 113.83 90.00
Sites, in units of the cell vectors:
1 Tm 0.5276 0.6824 0.7100
2 Tm 0.8176 0.9724 0.2900
3 Tm 0.0000 0.0000 0.0000
4 Tm 0.5000 0.5000 0.0000
5 Tm 0.1824 0.0276 0.7100
6 Tm 0.6824 0.1824 0.7100
7 Tm 0.0276 0.5276 0.7100
8 Tm 0.3176 0.8176 0.2900
9 Tm 0.9724 0.4724 0.2900
10 Tm 0.4724 0.3176 0.2900
11 Ni 0.1228 0.3772 0.0000
12 Ni 0.6228 0.1228 0.0000
13 Ni 0.3772 0.8772 0.0000
14 Ni 0.8772 0.6228 0.0000
15 Rh 0.7500 0.7500 0.5000
16 Rh 0.2500 0.2500 0.5000

Computed properties:
symmetry = I4/mcm, No. 140
density of states at the Fermi level = 6.0 states/eV/f.u.

***

Record 2
DFT (PBE) results for an optimized crystal structure of Tm3Ni2Rh.

abc: 3.3164 3.3164 10.2140
angles: 90.00 90.00 90.00
Sites, in units of the cell vectors:
1 Tm 0.0000 0.0000 0.0000
2 Tm 0.0000 0.0000 0.6693
3 Tm 0.0000 0.0000 0.3307
4 Ni 0.5000 0.5000 0.8358
5 Ni 0.5000 0.5000 0.1642
6 Rh 0.5000 0.5000 0.5000

Computed properties:
symmetry = P4/mmm, No. 123
density of states at the Fermi level = 3.6 states/eV/f.u.

***

Record 3
DFT (PBE) results for an optimized crystal structure of TmNi2Rh2.

abc: 3.8613 3.8613 11.1588
angles: 99.96 99.96 90.00
Each line ends with the local moment (μB).
Sites, in units of the cell vectors:
1 Tm 0.6257 0.6257 0.2515  -0.04
2 Tm 0.3743 0.3743 0.7485  -0.04
3 Ni 0.0000 0.5000 0.0000  0.68
4 Ni 0.1779 0.1779 0.3559  0.46
5 Ni 0.5000 0.0000 0.0000  0.68
6 Ni 0.8221 0.8221 0.6441  0.46
7 Rh 0.7500 0.2500 0.5000  0.37
8 Rh 0.9288 0.9288 0.8576  0.31
9 Rh 0.0712 0.0712 0.1424  0.31
10 Rh 0.2500 0.7500 0.5000  0.37

Computed properties:
symmetry = I4/mmm, No. 139
density of states at the Fermi level = 7.9 states/eV/f.u.

***

no.,energy (eV per atom),spin magnetization (Bohr magnetons per cell)
1,-5.678,0.00
2,-6.010,0.00
3,-6.375,3.49